Rb2Tl2Hg4Pd | Alexandria | PBE | relaxed; crystal system = tetragonal; energy relative to the elements = -0.1491 eV/atom; Fermi-level density of states = 5.3 states/eV/cell; total DFT energy (no corrections) = -14.41 eV for the cell shown
1.0
-3.850 3.850 4.775
3.850 -3.850 4.775
3.850 3.850 -4.775
Rb Tl Hg Pd
2 2 4 1
direct
0.250 0.750 0.500 Rb
0.750 0.250 0.500 Rb
0.203 0.203 0.000 Tl
0.797 0.797 0.000 Tl
0.244 0.244 0.488 Hg
0.244 0.756 0.000 Hg
0.756 0.244 0.000 Hg
0.756 0.756 0.512 Hg
0.500 0.500 0.000 Pd